Record 1
# Li3PuSe3

A relaxed structure of Li3PuSe3 (PBE, the Alexandria database).

Structure (CIF):
```
data_Li3PuSe3
_space_group_name_H-M_alt 'R -3'
_space_group_IT_number 148
_space_group_name_Hall '-R 3'
_cell_length_a 7.3805
_cell_length_b 7.3805
_cell_length_c 20.3544
_cell_angle_alpha 90.00
_cell_angle_beta 90.00
_cell_angle_gamma 120.00
loop_
_atom_site_label
_atom_site_type_symbol
_atom_site_fract_x
_atom_site_fract_y
_atom_site_fract_z
_atom_site_occupancy
Li1 Li 0.0083 0.3085 0.1213 1
Pu1 Pu 0.0000 0.0000 0.3339 1
Se1 Se 0.0039 0.3622 0.9167 1
```

Output
As for the volume: 22.9 Å³/atom. The value obtained for the total moment is 0.7143 μB per atom. The formation energy from raw total energies is -1.32 eV/atom. For the final energy, the calculation gives -238.4 eV/cell.

=====

Record 2
# MnCoHRh2

A relaxed structure of MnCoHRh2 (PBE, the Alexandria database).

Structure (CIF):
```
data_MnCoHRh2
_space_group_name_H-M_alt 'P 4/m m m'
_space_group_IT_number 123
_space_group_name_Hall '-P 4 2'
_cell_length_a 3.877
_cell_length_b 3.877
_cell_length_c 3.660
_cell_angle_alpha 90.00
_cell_angle_beta 90.00
_cell_angle_gamma 90.00
loop_
_atom_site_label
_atom_site_type_symbol
_atom_site_fract_x
_atom_site_fract_y
_atom_site_fract_z
_atom_site_occupancy
Mn1 Mn 0.000 0.000 0.000 1
Co1 Co 0.500 0.500 0.000 1
H1 H 0.500 0.500 0.500 1
Rh1 Rh 0.000 0.500 0.500 1
```

Output
As for the volume: 11.0 Å³/atom. The value obtained for the total moment is 0.3681 μB per atom. For the final energy, the calculation gives -34.6 eV/cell.

=====

Record 3
# Ce2IrS

A relaxed structure of Ce2IrS (PBE, the Alexandria database).

Structure (CIF):
```
data_Ce2IrS
_space_group_name_H-M_alt 'R -3 m'
_space_group_IT_number 166
_space_group_name_Hall '-R 3 2"'
_cell_length_a 3.9806
_cell_length_b 3.9806
_cell_length_c 20.9866
_cell_angle_alpha 90.00
_cell_angle_beta 90.00
_cell_angle_gamma 120.00
loop_
_atom_site_label
_atom_site_type_symbol
_atom_site_fract_x
_atom_site_fract_y
_atom_site_fract_z
_atom_site_occupancy
Ce1 Ce 0.0000 0.0000 0.2462 1
Ir1 Ir 0.0000 0.0000 0.5000 1
S1 S 0.0000 0.0000 0.0000 1
```

Output
As for the volume: 24.0 Å³/atom. The value obtained for the total moment is 0.3470 μB per atom. The formation energy from raw total energies is -1.30 eV/atom. For the final energy, the calculation gives -90.2 eV/cell.

=====

Record 4
# BeSeI2N

A relaxed structure of BeSeI2N (PBE, the Alexandria database).

Structure (CIF):
```
data_BeSeI2N
_space_group_name_H-M_alt 'P 4/m m m'
_space_group_IT_number 123
_space_group_name_Hall '-P 4 2'
_cell_length_a 5.926
_cell_length_b 5.926
_cell_length_c 3.708
_cell_angle_alpha 90.00
_cell_angle_beta 90.00
_cell_angle_gamma 90.00
loop_
_atom_site_label
_atom_site_type_symbol
_atom_site_fract_x
_atom_site_fract_y
_atom_site_fract_z
_atom_site_occupancy
Be1 Be 0.000 0.000 0.000 1
Se1 Se 0.500 0.500 0.500 1
I1 I 0.000 0.500 0.500 1
N1 N 0.500 0.500 0.000 1
```

Output
As for the volume: 26.0 Å³/atom. The value obtained for the total moment is 0.0000 μB per atom. The formation energy from raw total energies is 1.23 eV/atom. For the final energy, the calculation gives -12.5 eV/cell.

=====

Number 1: density of states at the Fermi level 67.52 states/eV/cell. Number 2: density of states at the Fermi level 7.34 states/eV/cell. Number 3: density of states at the Fermi level 27.53 states/eV/cell. Number 4: density of states at the Fermi level 1.84 states/eV/cell.